BaLi2Rh: relaxed, PBE-GGA.

POSCAR file:
```
BaLi2Rh
1.0
-2.003 3.852 -1.797
-3.315 -1.356 0.788
-0.796 2.000 5.174
Ba Li Rh
1 2 1
Cartesian
-4.084 2.409 3.573 Ba
-0.239 0.127 0.540 Li
-1.816 0.194 2.441 Li
-2.029 2.087 0.592 Rh
```

Energy relative to the elements (kJ/mol of formula units): 31
Energy above the lowest structure with this stoichiometry (meV per atom): 156
Calculated total energy (eV for the cell shown): -12.78


BaLiRh2: relaxed, PBE-GGA.

POSCAR file:
```
BaLiRh2
1.0
-0.489 1.854 4.439
-1.703 -4.240 1.583
6.941 -3.701 4.943
Rh Ba Li
4 2 2
Cartesian
1.350 -0.801 3.001 Rh
0.477 -2.839 3.987 Rh
3.921 -4.823 6.396 Rh
3.751 -3.710 8.546 Rh
0.000 0.000 0.000 Ba
2.678 -1.520 6.197 Ba
-1.096 -1.193 3.011 Li
2.071 -4.566 4.769 Li
```

Energy relative to the elements (kJ/mol of formula units): 49
Energy above the lowest structure with this stoichiometry (meV per atom): 246
Calculated total energy (eV for the cell shown): -36.06


BaLi3Rh: relaxed, PBE-GGA.

POSCAR file:
```
BaLi3Rh
1.0
-3.941 -2.729 1.194
2.793 -2.698 3.054
-1.035 3.111 3.695
Rh Ba Li
1 1 3
Cartesian
0.000 0.000 0.000 Rh
-1.092 -1.158 3.972 Ba
1.397 -1.349 1.527 Li
-0.517 1.556 1.848 Li
-1.971 -1.365 0.597 Li
```

Energy relative to the elements (kJ/mol of formula units): 18
Energy above the lowest structure with this stoichiometry (meV per atom): 84
Calculated total energy (eV for the cell shown): -14.83


Ba2Li4Rh: relaxed, PBE-GGA.

POSCAR file:
```
Ba2Li4Rh
1.0
5.024 0.000 0.000
0.000 5.024 0.000
2.512 2.512 8.783
Rh Ba Li
1 2 4
Cartesian
0.000 0.000 0.000 Rh
2.512 2.512 2.504 Ba
5.024 5.024 6.279 Ba
2.512 2.512 6.415 Li
5.024 5.024 2.367 Li
0.000 2.512 0.000 Li
2.512 0.000 0.000 Li
```

Energy relative to the elements (kJ/mol of formula units): 57
Calculated total energy (eV for the cell shown): -18.27


BaLi2Rh: relaxed, PBE-GGA.

POSCAR file:
```
BaLi2Rh
1.0
3.547 0.000 0.000
0.000 3.547 0.000
0.000 0.000 7.709
Ba Li Rh
1 2 1
Cartesian
1.774 1.774 5.296 Ba
0.000 0.000 0.741 Li
1.774 1.774 2.196 Li
0.000 0.000 3.331 Rh
```

Energy relative to the elements (kJ/mol of formula units): 13
Energy above the lowest structure with this stoichiometry (meV per atom): 109
Calculated total energy (eV for the cell shown): -12.97


BaLi2Rh: relaxed, PBE-GGA.

POSCAR file:
```
BaLi2Rh
1.0
-2.477 -2.812 -3.189
-4.611 1.177 -1.252
-0.969 1.678 -4.523
Rh Ba Li
1 1 2
Cartesian
0.000 0.000 0.000 Rh
-4.028 0.022 -4.482 Ba
-2.014 0.011 -2.241 Li
-6.043 0.032 -6.723 Li
```

Energy relative to the elements (kJ/mol of formula units): 29
Energy above the lowest structure with this stoichiometry (meV per atom): 150
Calculated total energy (eV for the cell shown): -12.80


Ba14Li6Rh3: relaxed, PBE-GGA.

POSCAR file:
```
Ba14Li6Rh3
1.0
-4.301 6.584 2.356
-1.824 2.994 -11.697
-7.956 -7.257 5.757
Ba Li Rh
14 6 3
Cartesian
-6.256 4.785 2.201 Ba
-12.401 2.107 -1.531 Ba
-11.255 0.226 5.817 Ba
-5.668 0.542 1.023 Ba
-9.276 -1.031 -1.169 Ba
-8.603 -2.136 3.146 Ba
-2.192 3.356 1.201 Ba
-6.007 -3.694 -0.009 Ba
-5.928 5.000 -6.378 Ba
-8.685 2.485 -4.384 Ba
-5.296 3.962 -2.325 Ba
-5.380 -0.391 -3.414 Ba
-2.607 2.139 -5.420 Ba
-6.015 0.653 -7.490 Ba
-3.555 3.312 -9.073 Li
-8.676 -1.359 -5.369 Li
-2.382 1.384 -1.546 Li
-8.367 2.280 -0.411 Li
-11.238 -0.339 1.666 Li
-7.709 1.200 3.809 Li
-0.608 0.931 0.333 Rh
-8.742 0.492 1.489 Rh
-5.653 2.310 -4.901 Rh
```

Energy relative to the elements (kJ/mol of formula units): -154
Calculated total energy (eV for the cell shown): -62.05


BaLiRh2: relaxed, PBE-GGA.

POSCAR file:
```
BaLiRh2
1.0
-1.224 3.936 3.152
0.126 -1.725 4.892
3.484 -0.347 -3.830
Ba Li Rh
1 1 2
Cartesian
1.530 -0.483 2.542 Ba
0.855 2.347 1.672 Li
0.000 0.000 0.000 Rh
-0.549 1.105 4.022 Rh
```

Energy relative to the elements (kJ/mol of formula units): 86
Energy above the lowest structure with this stoichiometry (meV per atom): 342
Calculated total energy (eV for the cell shown): -17.65


BaLi3Rh: relaxed, PBE-GGA.

POSCAR file:
```
BaLi3Rh
1.0
-3.874 -2.323 -4.546
-6.911 -3.120 4.914
-6.778 5.973 0.153
Ba Li Rh
4 12 4
Cartesian
-7.867 -2.839 3.326 Ba
-9.696 3.368 -2.805 Ba
-7.796 1.993 0.796 Ba
-9.766 -1.463 -0.275 Ba
-13.234 2.542 0.507 Li
-6.218 0.095 -3.971 Li
-4.329 -2.012 0.014 Li
-11.345 0.434 4.492 Li
-6.098 -3.254 -2.368 Li
-13.449 -0.680 2.344 Li
-11.464 3.783 2.889 Li
-4.113 1.209 -1.823 Li
-11.067 1.054 1.688 Li
-4.559 0.650 1.099 Li
-6.496 -0.524 -1.167 Li
-13.004 -0.121 -0.578 Li
-10.925 1.508 -0.958 Rh
-8.532 0.763 -2.314 Rh
-6.637 -0.979 1.479 Rh
-9.031 -0.234 2.835 Rh
```

Energy relative to the elements (kJ/mol of formula units): -22
Energy above the lowest structure with this stoichiometry (meV per atom): 0
Calculated total energy (eV for the cell shown): -60.99


Ba5Li2Rh: relaxed, PBE-GGA.

POSCAR file:
```
Ba5Li2Rh
1.0
-5.297 -0.950 5.456
-3.744 -7.113 -4.873
9.332 -5.073 2.794
Ba Li Rh
10 4 2
Cartesian
2.391 -8.531 2.353 Ba
-3.437 -5.448 -3.007 Ba
-5.604 -2.615 3.590 Ba
-2.007 -8.566 2.867 Ba
2.297 -4.570 0.511 Ba
0.774 -4.846 4.366 Ba
-0.484 -8.290 -0.989 Ba
-2.101 -4.605 1.024 Ba
5.756 -4.707 3.252 Ba
-5.466 -8.429 0.125 Ba
5.393 -7.118 0.487 Li
0.066 -11.294 1.608 Li
-5.103 -6.019 2.890 Li
0.224 -1.843 1.769 Li
4.666 -2.537 1.397 Rh
0.145 -6.568 1.689 Rh
```

Energy relative to the elements (kJ/mol of formula units): -21
Calculated total energy (eV for the cell shown): -42.02